Record 1
A plane-wave DFT calculation with PBE was carried out for Al3SnCl after structural relaxation.

Computed properties:
M_tot (μB per formula unit): 0.000
N(E_F) (states/eV/atom): 0.279
Raw formation energy (eV per atom): 0.593
Electronic total energy (eV/atom): -2.823
ρ (kg/m3): 2417

abc: 5.4458 5.4458 5.4458
angles: 90.00 90.00 90.00
Sites, in units of the cell vectors:
Al 0.0000 0.5000 0.0000
Al 0.0000 0.0000 0.5000
Al 0.5000 0.0000 0.0000
Sn 0.0000 0.0000 0.0000
Cl 0.5000 0.5000 0.5000



Record 2
A plane-wave DFT calculation with PBE was carried out for AlSn3Cl after structural relaxation.

Computed properties:
M_tot (μB per formula unit): 0.000
N(E_F) (states/eV/atom): 0.784
Raw formation energy (eV per atom): 0.263
Electronic total energy (eV/atom): -3.257
ρ (kg/m3): 4532

abc: 5.3529 5.3529 5.3529
angles: 90.00 90.00 90.00
Sites, in units of the cell vectors:
Al 0.0000 0.0000 0.0000
Sn 0.0000 0.5000 0.0000
Sn 0.0000 0.0000 0.5000
Sn 0.5000 0.0000 0.0000
Cl 0.5000 0.5000 0.5000



Record 3
A plane-wave DFT calculation with PBE was carried out for AlSn3Cl after structural relaxation.

Computed properties:
M_tot (μB per formula unit): 0.000
N(E_F) (states/eV/atom): 0.453
Raw formation energy (eV per atom): 0.550
Electronic total energy (eV/atom): -2.970
ρ (kg/m3): 4422

abc: 5.3969 5.3969 5.3969
angles: 90.00 90.00 90.00
Sites, in units of the cell vectors:
Al 0.5000 0.5000 0.5000
Sn 0.0000 0.5000 0.0000
Sn 0.0000 0.0000 0.5000
Sn 0.5000 0.0000 0.0000
Cl 0.0000 0.0000 0.0000



Record 4
A plane-wave DFT calculation with PBE was carried out for TiAl2SnCl after structural relaxation.

Computed properties:
M_tot (μB per formula unit): 0.256
N(E_F) (states/eV/atom): 1.976
Raw formation energy (eV per atom): 0.948
Electronic total energy (eV/atom): -3.298
ρ (kg/m3): 2905

abc: 5.2866 5.2359 5.2866
angles: 90.00 90.00 90.00
Sites, in units of the cell vectors:
Al 0.0000 0.0000 0.5000
Al 0.5000 0.0000 0.0000
Cl 0.0000 0.5000 0.0000
Sn 0.0000 0.0000 0.0000
Ti 0.5000 0.5000 0.5000



Record 5
A plane-wave DFT calculation with PBE was carried out for Sr2AlCl after structural relaxation.

Computed properties:
M_tot (μB per formula unit): 0.442
N(E_F) (states/eV/atom): 0.959
Raw formation energy (eV per atom): -0.788
Electronic total energy (eV/atom): -3.026
ρ (kg/m3): 2955

abc: 6.8161 6.8161 5.1978
angles: 90.00 90.00 33.58
Sites, in units of the cell vectors:
Sr 0.0177 0.0177 0.1250
Sr 0.7558 0.7558 0.6250
Al 0.4855 0.4855 0.6250
Cl 0.2411 0.2411 0.1250



Record 6
A plane-wave DFT calculation with PBE was carried out for SrAl2Cl after structural relaxation.

Computed properties:
M_tot (μB per formula unit): 0.000
N(E_F) (states/eV/atom): 0.515
Raw formation energy (eV per atom): -0.593
Electronic total energy (eV/atom): -3.346
ρ (kg/m3): 2447

abc: 3.7037 3.7037 8.7643
angles: 90.00 90.00 87.95
Sites, in units of the cell vectors:
Sr 0.5000 0.5000 0.7468
Al 0.0000 0.0000 0.0342
Al 0.5000 0.5000 0.1332
Cl 0.0000 0.0000 0.5858



Record 7
A plane-wave DFT calculation with PBE was carried out for SrAlCl after structural relaxation.

Computed properties:
M_tot (μB per formula unit): 0.000
N(E_F) (states/eV/atom): 0.378
Raw formation energy (eV per atom): -0.458
Electronic total energy (eV/atom): -2.882
ρ (kg/m3): 2703

abc: 5.0707 5.0707 5.0707
angles: 60.00 60.00 60.00
Sites, in units of the cell vectors:
Sr 0.0000 0.0000 0.0000
Al 0.5000 0.5000 0.5000
Cl 0.7500 0.7500 0.7500



Record 8
A plane-wave DFT calculation with PBE was carried out for SrAl2Cl after structural relaxation.

Computed properties:
M_tot (μB per formula unit): 0.000
N(E_F) (states/eV/atom): 0.416
Raw formation energy (eV per atom): -0.549
Electronic total energy (eV/atom): -3.302
ρ (kg/m3): 2661

abc: 4.0330 4.0330 13.8814
angles: 81.65 81.65 90.00
Sites, in units of the cell vectors:
Sr 0.0000 0.0000 0.0000
Sr 0.7500 0.2500 0.5000
Al 0.6379 0.1250 0.2500
Al 0.1121 0.6250 0.2500
Al 0.3750 0.3621 0.7500
Al 0.8750 0.8879 0.7500
Cl 0.5000 0.5000 0.0000
Cl 0.2500 0.7500 0.5000



Record 9
A plane-wave DFT calculation with PBE was carried out for Sr2AlCl after structural relaxation.

Computed properties:
M_tot (μB per formula unit): 0.802
N(E_F) (states/eV/atom): 0.938
Raw formation energy (eV per atom): -0.667
Electronic total energy (eV/atom): -2.905
ρ (kg/m3): 2833

abc: 6.1419 6.1419 6.1419
angles: 137.72 112.22 83.22
Sites, in units of the cell vectors:
Sr 0.9675 0.9675 0.0000
Sr 0.5325 0.5325 0.0000
Al 0.2500 0.7500 0.5000
Cl 0.7500 0.2500 0.5000



Record 10
A plane-wave DFT calculation with PBE was carried out for SrAl2Cl after structural relaxation.

Computed properties:
M_tot (μB per formula unit): 0.001
N(E_F) (states/eV/atom): 0.596
Raw formation energy (eV per atom): -0.634
Electronic total energy (eV/atom): -3.387
ρ (kg/m3): 2089

abc: 4.4932 4.4932 8.4177
angles: 75.31 75.31 60.00
Sites, in units of the cell vectors:
Sr 0.7419 0.7419 0.7691
Al 0.9814 0.9814 0.0652
Al 0.3131 0.3131 0.0703
Cl 0.4636 0.4636 0.5953



Record 11
A plane-wave DFT calculation with PBE was carried out for SrAlCl5 after structural relaxation.

Computed properties:
M_tot (μB per formula unit): 0.112
N(E_F) (states/eV/atom): 0.000
Raw formation energy (eV per atom): -1.913
Electronic total energy (eV/atom): -4.007
ρ (kg/m3): 1945

abc: 7.3856 7.3863 10.5704
angles: 111.44 111.45 85.84
Sites, in units of the cell vectors:
Sr 0.5000 0.0000 0.0000
Sr 0.5000 0.0000 0.5000
Al 0.9058 0.5944 0.2501
Al 0.0942 0.4056 0.7499
Cl 0.7599 0.6853 0.0670
Cl 0.2179 0.6471 0.3217
Cl 0.4103 0.0896 0.2500
Cl 0.8151 0.7405 0.4334
Cl 0.1849 0.2595 0.5666
Cl 0.8529 0.2825 0.1785
Cl 0.1471 0.7175 0.8215
Cl 0.5897 0.9104 0.7500
Cl 0.7821 0.3529 0.6783
Cl 0.2401 0.3147 0.9330



Record 12
A plane-wave DFT calculation with PBE was carried out for Sr3Al5Cl12 after structural relaxation.

Computed properties:
M_tot (μB per formula unit): 0.000
N(E_F) (states/eV/atom): 0.316
Raw formation energy (eV per atom): -1.232
Electronic total energy (eV/atom): -3.528
ρ (kg/m3): 2226

abc: 14.7224 14.7224 14.7224
angles: 109.47 109.47 109.47
Sites, in units of the cell vectors:
Sr 0.7500 0.3750 0.1250
Sr 0.8750 0.7500 0.1250
Sr 0.3750 0.7500 0.6250
Sr 0.2500 0.1250 0.3750
Sr 0.8750 0.1250 0.2500
Sr 0.3750 0.6250 0.2500
Sr 0.6250 0.3750 0.7500
Sr 0.1250 0.8750 0.7500
Sr 0.7500 0.8750 0.6250
Sr 0.6250 0.2500 0.3750
Sr 0.1250 0.2500 0.8750
Sr 0.2500 0.6250 0.8750
Al 0.1250 0.3750 0.2500
Al 0.0000 0.5000 0.0000
Al 0.0000 0.0000 0.0000
Al 0.3750 0.2500 0.1250
Al 0.5000 0.0000 0.5000
Al 0.5000 0.5000 0.0000
Al 0.1250 0.7500 0.3750
Al 0.7500 0.1250 0.8750
Al 0.7500 0.6250 0.3750
Al 0.3750 0.1250 0.7500
Al 0.6250 0.8750 0.2500
Al 0.5000 0.5000 0.5000
Al 0.5000 0.0000 0.0000
Al 0.0000 0.0000 0.5000
Al 0.2500 0.3750 0.6250
Al 0.2500 0.8750 0.1250
Al 0.0000 0.5000 0.5000
Al 0.8750 0.2500 0.6250
Al 0.6250 0.7500 0.8750
Al 0.8750 0.6250 0.7500
Cl 0.7191 0.1306 0.0518
Cl 0.3328 0.5518 0.4212
Cl 0.9482 0.3694 0.2809
Cl 0.5518 0.2191 0.1306
Cl 0.5884 0.7191 0.6672
Cl 0.9482 0.5788 0.1672
Cl 0.3328 0.7809 0.4116
Cl 0.0788 0.9116 0.1306
Cl 0.5788 0.9482 0.6672
Cl 0.7191 0.5884 0.1672
Cl 0.7809 0.4482 0.3694
Cl 0.8328 0.9212 0.0518
Cl 0.1306 0.7191 0.5518
Cl 0.3694 0.4212 0.0884
Cl 0.0884 0.9212 0.3694
Cl 0.4116 0.1306 0.5788
Cl 0.0884 0.1672 0.2191
Cl 0.4482 0.6672 0.0788
Cl 0.8328 0.9116 0.2809
Cl 0.1306 0.4116 0.0788
Cl 0.3694 0.9482 0.7809
Cl 0.5788 0.6306 0.4116
Cl 0.9212 0.8328 0.5518
Cl 0.7809 0.3328 0.9116
Cl 0.4212 0.3694 0.5884
Cl 0.0788 0.1672 0.4482
Cl 0.2191 0.6672 0.0884
Cl 0.1672 0.0884 0.7191
Cl 0.6306 0.0518 0.2191
Cl 0.8694 0.5884 0.9212
Cl 0.5518 0.3328 0.9212
Cl 0.5884 0.8694 0.4212
Cl 0.9116 0.8328 0.7809
Cl 0.9116 0.0788 0.6306
Cl 0.8694 0.2809 0.4482
Cl 0.1672 0.0788 0.9482
Cl 0.6306 0.5788 0.9116
Cl 0.4212 0.0518 0.3328
Cl 0.2809 0.4116 0.8328
Cl 0.2191 0.5518 0.6306
Cl 0.9212 0.0884 0.8694
Cl 0.6672 0.2191 0.5884
Cl 0.4482 0.7809 0.8694
Cl 0.0518 0.4212 0.8328
Cl 0.4116 0.2809 0.3328
Cl 0.0518 0.6306 0.7191
Cl 0.6672 0.4482 0.5788
Cl 0.2809 0.8694 0.9482



Record 13
A plane-wave DFT calculation with PBE was carried out for SrAl2Cl8 after structural relaxation.

Computed properties:
M_tot (μB per formula unit): 0.177
N(E_F) (states/eV/atom): 0.000
Raw formation energy (eV per atom): -1.798
Electronic total energy (eV/atom): -3.975
ρ (kg/m3): 1825

abc: 6.6600 8.0294 8.0294
angles: 66.62 80.80 80.80
Sites, in units of the cell vectors:
Sr 0.0000 0.0000 0.0000
Al 0.6682 0.8028 0.8028
Al 0.3318 0.1972 0.1972
Cl 0.2353 0.3096 0.9228
Cl 0.7647 0.0772 0.6904
Cl 0.3351 0.8217 0.8217
Cl 0.6649 0.1783 0.1783
Cl 0.2353 0.9228 0.3096
Cl 0.7647 0.6904 0.0772
Cl 0.7951 0.6462 0.6462
Cl 0.2049 0.3538 0.3538



Record 14
A plane-wave DFT calculation with PBE was carried out for SrAl2Cl after structural relaxation.

Computed properties:
M_tot (μB per formula unit): 0.000
N(E_F) (states/eV/atom): 0.641
Raw formation energy (eV per atom): -0.086
Electronic total energy (eV/atom): -2.839
ρ (kg/m3): 2673

abc: 3.9895 3.9895 6.9099
angles: 90.00 90.00 90.00
Sites, in units of the cell vectors:
Sr 0.5000 0.5000 0.7500
Al 0.0000 0.0000 0.0649
Al 0.0000 0.0000 0.4351
Cl 0.5000 0.5000 0.2500



Record 15
A plane-wave DFT calculation with PBE was carried out for Sr2AlCl after structural relaxation.

Computed properties:
M_tot (μB per formula unit): 0.000
N(E_F) (states/eV/atom): 0.172
Raw formation energy (eV per atom): -0.688
Electronic total energy (eV/atom): -2.927
ρ (kg/m3): 2661

abc: 8.1861 8.1861 7.2868
angles: 55.83 55.83 90.00
Sites, in units of the cell vectors:
Sr 0.6537 0.1250 0.2500
Sr 0.0963 0.6250 0.2500
Sr 0.3750 0.3463 0.7500
Sr 0.8750 0.9037 0.7500
Al 0.5000 0.5000 0.0000
Al 0.2500 0.7500 0.5000
Cl 0.0000 0.0000 0.0000
Cl 0.7500 0.2500 0.5000



Record 16
A plane-wave DFT calculation with PBE was carried out for Sr2AlCl after structural relaxation.

Computed properties:
M_tot (μB per formula unit): 0.000
N(E_F) (states/eV/atom): 0.282
Raw formation energy (eV per atom): -0.929
Electronic total energy (eV/atom): -3.167
ρ (kg/m3): 2911

abc: 3.8208 4.0976 8.6597
angles: 90.06 90.00 90.00
Sites, in units of the cell vectors:
Sr 0.0000 0.7496 0.0225
Sr 0.0000 0.7504 0.4775
Al 0.5000 0.2500 0.2500
Cl 0.5000 0.7500 0.7500



Record 17
A plane-wave DFT calculation with PBE was carried out for SrAl2Cl after structural relaxation.

Computed properties:
M_tot (μB per formula unit): 0.000
N(E_F) (states/eV/atom): 0.389
Raw formation energy (eV per atom): -0.304
Electronic total energy (eV/atom): -3.058
ρ (kg/m3): 2715

abc: 5.9306 5.9306 5.9306
angles: 144.21 114.93 76.55
Sites, in units of the cell vectors:
Sr 0.2709 0.7709 0.5000
Al 0.9556 0.9556 0.0000
Al 0.7495 0.2495 0.5000
Cl 0.5240 0.5240 0.0000



Record 18
A plane-wave DFT calculation with PBE was carried out for Sr2AlCl after structural relaxation.

Computed properties:
M_tot (μB per formula unit): 0.000
N(E_F) (states/eV/atom): 0.251
Raw formation energy (eV per atom): -0.872
Electronic total energy (eV/atom): -3.111
ρ (kg/m3): 2952

abc: 4.2942 4.2942 8.7288
angles: 75.80 75.80 60.00
Sites, in units of the cell vectors:
Sr 0.9991 0.9991 0.0035
Sr 0.5009 0.5009 0.4965
Al 0.7500 0.7500 0.7500
Cl 0.2500 0.2500 0.2500



Record 19
A plane-wave DFT calculation with PBE was carried out for SrAl2Cl after structural relaxation.

Computed properties:
M_tot (μB per formula unit): 0.000
N(E_F) (states/eV/atom): 0.386
Raw formation energy (eV per atom): -0.618
Electronic total energy (eV/atom): -3.372
ρ (kg/m3): 2381

abc: 3.7823 3.9149 8.3614
angles: 85.89 90.00 90.00
Sites, in units of the cell vectors:
Sr 0.5000 0.8928 0.7394
Al 0.0000 0.8472 0.0826
Al 0.5000 0.3447 0.0842
Cl 0.0000 0.4153 0.5939